Entry 1
# CaIn2Hg6, relaxed, DFT GGA-PBE
data_CaIn2Hg6
_space_group_name_H-M_alt 'C 1 2/c 1'
_space_group_IT_number 15
_space_group_name_Hall '-C 2yc'
_cell_length_a 11.8905
_cell_length_b 13.3944
_cell_length_c 6.2626
_cell_angle_alpha 90.00
_cell_angle_beta 106.40
_cell_angle_gamma 90.00
loop_
_atom_site_label
_atom_site_fract_x
_atom_site_fract_y
_atom_site_fract_z
Ca1 0.0000 0.1102 0.2500
In1 0.1577 0.4833 0.3763
Hg1 0.0288 0.3212 0.0066
Hg2 0.1333 0.1023 0.7957
Hg3 0.2453 0.3007 0.7219
# total magnetic moment	0.00	μB per atom


Entry 2
# CaIn2Hg6, relaxed, DFT GGA-PBE
data_CaIn2Hg6
_space_group_name_H-M_alt 'I m m m'
_space_group_IT_number 71
_space_group_name_Hall '-I 2 2'
_cell_length_a 9.7962
_cell_length_b 10.0007
_cell_length_c 10.0016
_cell_angle_alpha 90.00
_cell_angle_beta 90.00
_cell_angle_gamma 90.00
loop_
_atom_site_label
_atom_site_fract_x
_atom_site_fract_y
_atom_site_fract_z
Ca1 0.0000 0.0000 0.0000
Ca2 0.0000 0.5000 0.0000
In1 0.0000 0.0000 0.3549
In2 0.0000 0.3524 0.5000
Hg1 0.0000 0.2586 0.2095
Hg2 0.2171 0.5000 0.2760
Hg3 0.2335 0.2749 0.0000
# total magnetic moment	0.00	μB per atom


If we sort the structures by their calculated energies, the order from most to least stable is entry 1, entry 2.


Entry 1
# CaInHg5, relaxed, DFT GGA-PBE
data_CaInHg5
_space_group_name_H-M_alt 'I m m m'
_space_group_IT_number 71
_space_group_name_Hall '-I 2 2'
_cell_length_a 5.7015
_cell_length_b 8.7362
_cell_length_c 12.1915
_cell_angle_alpha 90.00
_cell_angle_beta 90.00
_cell_angle_gamma 90.00
loop_
_atom_site_label
_atom_site_fract_x
_atom_site_fract_y
_atom_site_fract_z
Ca1 0.0000 0.0000 0.0000
In1 0.0000 0.0000 0.5000
Hg1 0.0000 0.0000 0.2552
Hg2 0.0000 0.3297 0.5000
Hg3 0.0000 0.5000 0.0000
# total magnetic moment	0.00	μB per atom


Entry 2
# CaInHg5, relaxed, DFT GGA-PBE
data_CaInHg5
_space_group_name_H-M_alt 'P 4/m m m'
_space_group_IT_number 123
_space_group_name_Hall '-P 4 2'
_cell_length_a 4.8379
_cell_length_b 4.8379
_cell_length_c 8.0858
_cell_angle_alpha 90.00
_cell_angle_beta 90.00
_cell_angle_gamma 90.00
loop_
_atom_site_label
_atom_site_fract_x
_atom_site_fract_y
_atom_site_fract_z
Ca1 0.0000 0.0000 0.0000
In1 0.0000 0.0000 0.5000
Hg1 0.0000 0.5000 0.2746
Hg2 0.5000 0.5000 0.0000
# total magnetic moment	0.00	μB per atom


If we sort the structures by their calculated energies, the order from most to least stable is entry 2, entry 1.


Entry 1
# Ca3In4Hg4, relaxed, DFT GGA-PBE
data_Ca3In4Hg4
_space_group_name_H-M_alt 'I m m m'
_space_group_IT_number 71
_space_group_name_Hall '-I 2 2'
_cell_length_a 4.5444
_cell_length_b 8.0614
_cell_length_c 16.2714
_cell_angle_alpha 90.00
_cell_angle_beta 90.00
_cell_angle_gamma 90.00
loop_
_atom_site_label
_atom_site_fract_x
_atom_site_fract_y
_atom_site_fract_z
Ca1 0.0000 0.0000 0.0000
Ca2 0.0000 0.5000 0.1218
In1 0.0000 0.3078 0.3348
Hg1 0.0000 0.0000 0.2288
Hg2 0.0000 0.1848 0.5000
# total magnetic moment	0.00	μB per atom


Entry 2
# Ca3In4Hg4, relaxed, DFT GGA-PBE
data_Ca3In4Hg4
_space_group_name_H-M_alt 'C 1 2/m 1'
_space_group_IT_number 12
_space_group_name_Hall '-C 2y'
_cell_length_a 31.2306
_cell_length_b 5.0185
_cell_length_c 3.7401
_cell_angle_alpha 90.00
_cell_angle_beta 96.83
_cell_angle_gamma 90.00
loop_
_atom_site_label
_atom_site_fract_x
_atom_site_fract_y
_atom_site_fract_z
Ca1 0.0000 0.0000 0.0000
Ca2 0.1397 0.5000 0.1393
In1 0.0913 0.0000 0.5887
In2 0.2359 0.5000 0.7362
Hg1 0.0466 0.5000 0.5450
Hg2 0.1831 0.0000 0.6838
# total magnetic moment	0.00	μB per atom


If we sort the structures by their calculated energies, the order from most to least stable is entry 2, entry 1.


Entry 1
# Ca2InHg7, relaxed, DFT GGA-PBE
data_Ca2InHg7
_space_group_name_H-M_alt 'P 3 m 1'
_space_group_IT_number 156
_space_group_name_Hall 'P 3 -2"'
_cell_length_a 5.0997
_cell_length_b 5.0997
_cell_length_c 12.1301
_cell_angle_alpha 90.00
_cell_angle_beta 90.00
_cell_angle_gamma 120.00
loop_
_atom_site_label
_atom_site_fract_x
_atom_site_fract_y
_atom_site_fract_z
Ca1 0.0000 0.0000 0.0000
Ca2 0.3333 0.6667 0.6618
In1 0.6667 0.3333 0.1693
Hg1 0.0000 0.0000 0.2624
Hg2 0.0000 0.0000 0.5058
Hg3 0.0000 0.0000 0.7546
Hg4 0.3333 0.6667 0.0896
Hg5 0.3333 0.6667 0.3832
Hg6 0.6667 0.3333 0.5556
Hg7 0.6667 0.3333 0.8514
# total magnetic moment	0.00	μB per atom


Entry 2
# Ca2InHg7, relaxed, DFT GGA-PBE
data_Ca2InHg7
_space_group_name_H-M_alt 'F m -3 m'
_space_group_IT_number 225
_space_group_name_Hall '-F 4 2 3'
_cell_length_a 11.0642
_cell_length_b 11.0642
_cell_length_c 11.0642
_cell_angle_alpha 90.00
_cell_angle_beta 90.00
_cell_angle_gamma 90.00
loop_
_atom_site_label
_atom_site_fract_x
_atom_site_fract_y
_atom_site_fract_z
Ca1 0.2500 0.2500 0.2500
In1 0.0000 0.0000 0.0000
Hg1 0.0000 0.0000 0.2501
Hg2 0.0000 0.0000 0.5000
# total magnetic moment	0.00	μB per atom


If we sort the structures by their calculated energies, the order from most to least stable is entry 1, entry 2.


Entry 1
# Ca2InHg8, relaxed, DFT GGA-PBE
data_Ca2InHg8
_space_group_name_H-M_alt 'P 4/m m m'
_space_group_IT_number 123
_space_group_name_Hall '-P 4 2'
_cell_length_a 4.7454
_cell_length_b 4.7454
_cell_length_c 13.0719
_cell_angle_alpha 90.00
_cell_angle_beta 90.00
_cell_angle_gamma 90.00
loop_
_atom_site_label
_atom_site_fract_x
_atom_site_fract_y
_atom_site_fract_z
Ca1 0.0000 0.0000 0.1796
In1 0.0000 0.0000 0.5000
Hg1 0.0000 0.5000 0.0000
Hg2 0.0000 0.5000 0.3539
Hg3 0.5000 0.5000 0.1770
# total magnetic moment	0.00	μB per atom


Entry 2
# Ca2InHg8, relaxed, DFT GGA-PBE
data_Ca2InHg8
_space_group_name_H-M_alt 'C 1 2/m 1'
_space_group_IT_number 12
_space_group_name_Hall '-C 2y'
_cell_length_a 17.2084
_cell_length_b 5.0074
_cell_length_c 6.9628
_cell_angle_alpha 90.00
_cell_angle_beta 106.47
_cell_angle_gamma 90.00
loop_
_atom_site_label
_atom_site_fract_x
_atom_site_fract_y
_atom_site_fract_z
Ca1 0.2108 0.0000 0.1770
In1 0.0000 0.5000 0.5000
Hg1 0.0224 0.0000 0.2301
Hg2 0.1052 0.5000 0.9319
Hg3 0.1568 0.5000 0.3950
Hg4 0.1617 0.0000 0.6853
# total magnetic moment	0.00	μB per atom


If we sort the structures by their calculated energies, the order from most to least stable is entry 1, entry 2.


Entry 1
# Ca2InHg3, relaxed, DFT GGA-PBE
data_Ca2InHg3
_space_group_name_H-M_alt 'F m m m'
_space_group_IT_number 69
_space_group_name_Hall '-F 2 2'
_cell_length_a 7.2297
_cell_length_b 10.0106
_cell_length_c 17.3308
_cell_angle_alpha 90.00
_cell_angle_beta 90.00
_cell_angle_gamma 90.00
loop_
_atom_site_label
_atom_site_fract_x
_atom_site_fract_y
_atom_site_fract_z
Ca1 0.2455 0.0000 0.0000
Ca2 0.2500 0.2500 0.2500
In1 0.0000 0.0000 0.3333
Hg1 0.0000 0.0000 0.1673
Hg2 0.0000 0.2487 0.4165
# total magnetic moment	0.00	μB per atom


Entry 2
# Ca2InHg3, relaxed, DFT GGA-PBE
data_Ca2InHg3
_space_group_name_H-M_alt 'I m m 2'
_space_group_IT_number 44
_space_group_name_Hall 'I 2 -2'
_cell_length_a 4.0598
_cell_length_b 4.5238
_cell_length_c 18.7191
_cell_angle_alpha 90.00
_cell_angle_beta 90.00
_cell_angle_gamma 90.00
loop_
_atom_site_label
_atom_site_fract_x
_atom_site_fract_y
_atom_site_fract_z
Ca1 0.0000 0.0000 0.0000
Ca2 0.0000 0.5000 0.2492
In1 0.0000 0.0000 0.5858
Hg1 0.0000 0.0000 0.4320
Hg2 0.0000 0.5000 0.6728
Hg3 0.0000 0.5000 0.8260
# total magnetic moment	0.00	μB per atom


If we sort the structures by their calculated energies, the order from most to least stable is entry 1, entry 2.


Entry 1
# CaIn3Hg, relaxed, DFT GGA-PBE
data_CaIn3Hg
_space_group_name_H-M_alt 'P m -3 m'
_space_group_IT_number 221
_space_group_name_Hall '-P 4 2 3'
_cell_length_a 5.5771
_cell_length_b 5.5771
_cell_length_c 5.5771
_cell_angle_alpha 90.00
_cell_angle_beta 90.00
_cell_angle_gamma 90.00
loop_
_atom_site_label
_atom_site_fract_x
_atom_site_fract_y
_atom_site_fract_z
Ca1 0.0000 0.0000 0.0000
In1 0.0000 0.5000 0.5000
Hg1 0.5000 0.5000 0.5000
# total magnetic moment	0.00	μB per atom


Entry 2
# CaIn3Hg, relaxed, DFT GGA-PBE
data_CaIn3Hg
_space_group_name_H-M_alt 'P m -3 m'
_space_group_IT_number 221
_space_group_name_Hall '-P 4 2 3'
_cell_length_a 6.0300
_cell_length_b 6.0300
_cell_length_c 6.0300
_cell_angle_alpha 90.00
_cell_angle_beta 90.00
_cell_angle_gamma 90.00
loop_
_atom_site_label
_atom_site_fract_x
_atom_site_fract_y
_atom_site_fract_z
Ca1 0.0000 0.0000 0.0000
In1 0.0000 0.0000 0.5000
Hg1 0.5000 0.5000 0.5000
# total magnetic moment	0.00	μB per atom


Entry 3
# CaIn3Hg, relaxed, DFT GGA-PBE
data_CaIn3Hg
_space_group_name_H-M_alt 'P 1 21/c 1'
_space_group_IT_number 14
_space_group_name_Hall '-P 2ybc'
_cell_length_a 8.2927
_cell_length_b 6.5606
_cell_length_c 10.2485
_cell_angle_alpha 90.00
_cell_angle_beta 108.32
_cell_angle_gamma 90.00
loop_
_atom_site_label
_atom_site_fract_x
_atom_site_fract_y
_atom_site_fract_z
Ca1 0.2156 0.0050 0.3062
In1 0.0009 0.7488 0.5018
In2 0.2102 0.5042 0.2985
In3 0.4015 0.7304 0.5970
Hg1 0.3953 0.2413 0.6014
# total magnetic moment	0.00	μB per atom


If we sort the structures by their calculated energies, the order from most to least stable is entry 3, entry 1, entry 2.


Entry 1
# Ca2In5Hg12, relaxed, DFT GGA-PBE
data_Ca2In5Hg12
_space_group_name_H-M_alt 'C 1 2/m 1'
_space_group_IT_number 12
_space_group_name_Hall '-C 2y'
_cell_length_a 17.9273
_cell_length_b 10.7195
_cell_length_c 5.3934
_cell_angle_alpha 90.00
_cell_angle_beta 103.88
_cell_angle_gamma 90.00
loop_
_atom_site_label
_atom_site_fract_x
_atom_site_fract_y
_atom_site_fract_z
Ca1 0.0000 0.2456 0.0000
In1 0.0000 0.0000 0.5000
In2 0.1481 0.5000 0.8755
In3 0.2420 0.0000 0.5359
Hg1 0.0539 0.5000 0.3093
Hg2 0.1045 0.0000 0.0553
Hg3 0.1061 0.2354 0.5919
Hg4 0.1960 0.2481 0.1798
# total magnetic moment	0.00	μB per atom


Entry 2
# Ca2In5Hg12, relaxed, DFT GGA-PBE
data_Ca2In5Hg12
_space_group_name_H-M_alt 'C 1 2/m 1'
_space_group_IT_number 12
_space_group_name_Hall '-C 2y'
_cell_length_a 15.6628
_cell_length_b 10.1745
_cell_length_c 6.3510
_cell_angle_alpha 90.00
_cell_angle_beta 99.64
_cell_angle_gamma 90.00
loop_
_atom_site_label
_atom_site_fract_x
_atom_site_fract_y
_atom_site_fract_z
Ca1 0.0000 0.2211 0.0000
In1 0.0000 0.0000 0.5000
In2 0.1518 0.5000 0.8532
In3 0.2048 0.0000 0.4491
Hg1 0.0527 0.5000 0.2689
Hg2 0.1020 0.2600 0.5788
Hg3 0.1410 0.0000 0.9422
Hg4 0.2044 0.2868 0.1972
# total magnetic moment	0.00	μB per atom


If we sort the structures by their calculated energies, the order from most to least stable is entry 1, entry 2.


Entry 1
# CaIn3Hg3, relaxed, DFT GGA-PBE
data_CaIn3Hg3
_space_group_name_H-M_alt 'C 1 2/m 1'
_space_group_IT_number 12
_space_group_name_Hall '-C 2y'
_cell_length_a 10.0168
_cell_length_b 10.8313
_cell_length_c 7.0024
_cell_angle_alpha 90.00
_cell_angle_beta 94.01
_cell_angle_gamma 90.00
loop_
_atom_site_label
_atom_site_fract_x
_atom_site_fract_y
_atom_site_fract_z
Ca1 0.2129 0.0000 0.4811
In1 0.0000 0.1460 0.0000
In2 0.0000 0.2417 0.5000
In3 0.2195 0.5000 0.0151
Hg1 0.0025 0.5000 0.7195
Hg2 0.2447 0.2544 0.2385
# total magnetic moment	0.00	μB per atom


Entry 2
# CaIn3Hg3, relaxed, DFT GGA-PBE
data_CaIn3Hg3
_space_group_name_H-M_alt 'P m -3 n'
_space_group_IT_number 223
_space_group_name_Hall '-P 4n 2 3'
_cell_length_a 7.9502
_cell_length_b 7.9502
_cell_length_c 7.9502
_cell_angle_alpha 90.00
_cell_angle_beta 90.00
_cell_angle_gamma 90.00
loop_
_atom_site_label
_atom_site_fract_x
_atom_site_fract_y
_atom_site_fract_z
Ca1 0.0000 0.0000 0.0000
In1 0.0000 0.2500 0.5000
Hg1 0.0000 0.5000 0.2500
# total magnetic moment	0.00	μB per atom


If we sort the structures by their calculated energies, the order from most to least stable is entry 1, entry 2.


Entry 1
# CaIn4Hg5, relaxed, DFT GGA-PBE
data_CaIn4Hg5
_space_group_name_H-M_alt 'I 4'
_space_group_IT_number 79
_space_group_name_Hall 'I 4'
_cell_length_a 9.4166
_cell_length_b 9.4166
_cell_length_c 6.2936
_cell_angle_alpha 90.00
_cell_angle_beta 90.00
_cell_angle_gamma 90.00
loop_
_atom_site_label
_atom_site_fract_x
_atom_site_fract_y
_atom_site_fract_z
Ca1 0.0000 0.0000 0.0000
In1 0.0997 0.7004 0.2875
Hg1 0.0000 0.0000 0.4992
Hg2 0.0974 0.7046 0.7835
# total magnetic moment	0.00	μB per atom


Entry 2
# CaIn4Hg5, relaxed, DFT GGA-PBE
data_CaIn4Hg5
_space_group_name_H-M_alt 'P 4/m m m'
_space_group_IT_number 123
_space_group_name_Hall '-P 4 2'
_cell_length_a 3.8803
_cell_length_b 3.8803
_cell_length_c 17.4359
_cell_angle_alpha 90.00
_cell_angle_beta 90.00
_cell_angle_gamma 90.00
loop_
_atom_site_label
_atom_site_fract_x
_atom_site_fract_y
_atom_site_fract_z
Ca1 0.0000 0.0000 0.0000
In1 0.0000 0.0000 0.2010
In2 0.0000 0.0000 0.3997
Hg1 0.5000 0.5000 0.1011
Hg2 0.5000 0.5000 0.2978
Hg3 0.5000 0.5000 0.5000
# total magnetic moment	0.00	μB per atom


If we sort the structures by their calculated energies, the order from most to least stable is entry 2, entry 1.